No. 1
The following is a PBE calculation of ZrUBe after structural relaxation, from OQMD via LeMat-Bulk.

Symmetry   F-43m, No. 216
Polymorph energy (0 for the lowest one)   0.00 kcal/mol of atoms

```
ZrUBe
1.0
0.0000 3.1094 3.1094
3.1094 0.0000 3.1094
3.1094 3.1094 0.0000
Be Zr U
1 1 1
Cartesian
0.0000 0.0000 0.0000
4.6641 4.6641 4.6641
1.5547 1.5547 1.5547
```



No. 2
The following is a PBE calculation of BeW2 after structural relaxation, from OQMD via LeMat-Bulk.

Symmetry   Fd-3m, No. 227
Polymorph energy (0 for the lowest one)   72.72 kcal/mol of atoms

```
BeW2
1.0
3.4452 1.9891 5.6259
-3.4452 1.9891 5.6259
0.0000 -3.9781 5.6259
Be W
2 4
Cartesian
0.0000 0.0000 8.4389
0.0000 0.0000 4.2195
1.7226 0.9945 9.1421
0.0000 -1.9891 9.1421
0.0000 0.0000 6.3292
-1.7226 0.9945 9.1421
```



No. 3
The following is a PBE calculation of Be2W after structural relaxation, from OQMD via LeMat-Bulk.

Symmetry   Fd-3m, No. 227
Polymorph energy (0 for the lowest one)   0.00 kcal/mol of atoms

```
Be2W
1.0
0.0000 3.1571 3.1571
3.1571 0.0000 3.1571
3.1571 3.1571 0.0000
W Be
2 4
Cartesian
0.0000 0.0000 0.0000
1.5785 1.5785 1.5785
2.3678 3.9463 2.3678
3.9463 3.9463 3.9463
3.9463 2.3678 2.3678
2.3678 2.3678 3.9463
```



No. 4
The following is a PBE calculation of Be2W3 after structural relaxation, from OQMD via LeMat-Bulk.

Symmetry   P4/mbm, No. 127
Uncorrected energy   -9.462 eV/atom

```
Be2W3
1.0
-3.3104 5.0695 1.5328
-1.8291 -2.7907 5.2796
2.5615 1.2108 1.5274
Be W
4 6
Cartesian
-2.2595 2.8027 1.5674
-2.8799 -0.5239 5.2449
-1.0887 -0.4711 2.1992
-4.0507 2.7498 4.6131
0.0000 0.0000 0.0000
-2.5697 1.1394 3.4062
-2.4646 1.7347 6.1493
-2.0384 3.8779 3.7357
-0.5396 -0.3883 4.6041
-0.1134 1.7549 2.1904
```



What is the formula in the second record? BeW2



Copy entry 2 word for word.
The following is a PBE calculation of BeW2 after structural relaxation, from OQMD via LeMat-Bulk.

Symmetry   Fd-3m, No. 227
Polymorph energy (0 for the lowest one)   72.72 kcal/mol of atoms

```
BeW2
1.0
3.4452 1.9891 5.6259
-3.4452 1.9891 5.6259
0.0000 -3.9781 5.6259
Be W
2 4
Cartesian
0.0000 0.0000 8.4389
0.0000 0.0000 4.2195
1.7226 0.9945 9.1421
0.0000 -1.9891 9.1421
0.0000 0.0000 6.3292
-1.7226 0.9945 9.1421
```